# CdHgI4

A geometry-optimized CdHgI4 structure (PBE, Alexandria).

Values from the calculation:
D(E_F), states/eV per cell: 0.00
Distance to the lowest polymorph of the same formula, kJ per mole of atoms: 0.0
E_form (uncorrected), eV/atom: -0.444
Volume, Å³ per atom: 46.1
Theoretical density, kg/m³: 4927

Cell: 6.669 6.669 12.437 Å, 90.00 90.00 90.00°
Space group I-4 (No. 82)
Symmetry-distinct sites (fractional):
1 Cd 0.000 0.000 0.000 [2 per cell]
2 Hg 0.000 0.500 0.750 [2 per cell]
3 I 0.243 0.251 0.376 [8 per cell]

=====

# MgTiAl2

A geometry-optimized MgTiAl2 structure (PBE, Alexandria).

Values from the calculation:
Formation energy, eV per atom: 0.30
D(E_F), states/eV per cell: 7.95
Volume, Å³ per atom: 19.0
Theoretical density, kg/m³: 2752

Cell: 7.294 7.294 5.722 Å, 90.00 90.00 90.00°
Space group I-42d (No. 122)
Symmetry-distinct sites (fractional):
1 Mg 0.000 0.000 0.000 [4 per cell]
2 Ti 0.000 0.000 0.500 [4 per cell]
3 Al 0.249 0.250 0.125 [8 per cell]

=====

# LaTcO2

A geometry-optimized LaTcO2 structure (PBE, Alexandria).

Values from the calculation:
D(E_F), states/eV per cell: 4.84
Distance to the lowest polymorph of the same formula, kJ per mole of atoms: 25.3
E_form (uncorrected), eV/atom: -1.522
Volume, Å³ per atom: 15.8
Theoretical density, kg/m³: 7079

Cell: 4.502 4.502 12.449 Å, 90.00 90.00 90.00°
Space group I-42d (No. 122)
Symmetry-distinct sites (fractional):
1 La 0.000 0.000 0.000 [4 per cell]
2 Tc 0.000 0.000 0.500 [4 per cell]
3 O 0.161 0.250 0.625 [8 per cell]

=====

# Li2PrGe2

A geometry-optimized Li2PrGe2 structure (PBE, Alexandria).

Values from the calculation:
Formation energy, eV per atom: -0.31
D(E_F), states/eV per cell: 4.87
Volume, Å³ per atom: 20.6
Theoretical density, kg/m³: 4845

Cell: 3.606 3.606 15.821 Å, 90.00 90.00 90.00°
Space group I4/mmm (No. 139)
Symmetry-distinct sites (fractional):
1 Li 0.000 0.500 0.250 [4 per cell]
2 Pr 0.000 0.000 0.000 [2 per cell]
3 Ge 0.000 0.000 0.375 [4 per cell]

=====

# Ag6PdPt2

A geometry-optimized Ag6PdPt2 structure (PBE, Alexandria).

Values from the calculation:
Formation energy, eV per atom: 0.04
D(E_F), states/eV per cell: 8.67
Distance to the lowest polymorph of the same formula, kJ per mole of atoms: 0.0
Volume, Å³ per atom: 17.1
Theoretical density, kg/m³: 12325

Cell: 7.663 4.767 8.493 Å, 90.00 96.53 90.00°
Space group C2/m (No. 12)
Symmetry-distinct sites (fractional):
1 Ag 0.002 0.000 0.335 [4 per cell]
2 Ag 0.164 0.500 0.781 [4 per cell]
3 Ag 0.168 0.500 0.114 [4 per cell]
4 Pd 0.000 0.000 0.000 [2 per cell]
5 Pt 0.168 0.500 0.454 [4 per cell]

=====

# Pm4Dy4Ho3

A geometry-optimized Pm4Dy4Ho3 structure (PBE, Alexandria).

Values from the calculation:
Formation energy, eV per atom: 0.12
D(E_F), states/eV per cell: 35.56
Distance to the lowest polymorph of the same formula, kJ per mole of atoms: 6.1
Volume, Å³ per atom: 33.4
Theoretical density, kg/m³: 7807

Cell: 3.600 9.392 21.704 Å, 90.00 90.00 90.00°
Space group Immm (No. 71)
Symmetry-distinct sites (fractional):
1 Pm 0.000 0.178 0.144 [8 per cell]
2 Dy 0.000 0.317 0.000 [4 per cell]
3 Dy 0.000 0.500 0.240 [4 per cell]
4 Ho 0.000 0.000 0.393 [4 per cell]
5 Ho 0.000 0.500 0.500 [2 per cell]

=====

# TbTmAlAg

A geometry-optimized TbTmAlAg structure (PBE, Alexandria).

Values from the calculation:
Formation energy, eV per atom: -0.36
D(E_F), states/eV per cell: 2.47
Distance to the lowest polymorph of the same formula, kJ per mole of atoms: 0.0
Volume, Å³ per atom: 23.5
Theoretical density, kg/m³: 8175

Cell: 3.535 3.535 7.520 Å, 90.00 90.00 90.00°
Space group P4mm (No. 99)
Symmetry-distinct sites (fractional):
1 Tb 0.000 0.000 0.000 [1 per cell]
2 Tm 0.000 0.000 0.499 [1 per cell]
3 Al 0.500 0.500 0.745 [1 per cell]
4 Ag 0.500 0.500 0.265 [1 per cell]

=====

# Be2CuW

A geometry-optimized Be2CuW structure (PBE, Alexandria).

Values from the calculation:
Formation energy, eV per atom: 0.20
D(E_F), states/eV per cell: 4.19
Distance to the lowest polymorph of the same formula, kJ per mole of atoms: 19.0
Volume, Å³ per atom: 11.3
Theoretical density, kg/m³: 9714

Cell: 2.570 4.145 8.518 Å, 90.00 90.00 90.00°
Space group Imm2 (No. 44)
Symmetry-distinct sites (fractional):
1 Be 0.000 0.000 0.000 [2 per cell]
2 Be 0.000 0.500 0.279 [2 per cell]
3 Cu 0.000 0.500 0.732 [2 per cell]
4 W 0.000 0.000 0.512 [2 per cell]